! TlTcOs3 (PBE-GGA, relaxed); values from VASP
! Energy   -7.1698 eV/atom
! Crystal system   cubic
! Distance to the lowest polymorph of the same formula   0 meV per atom
! Formation energy from the elements   2.1145 eV per atom
&SYSTEM
  ibrav = 0, nat = 5, ntyp = 3
/
ATOMIC_SPECIES
Os 190.23 Os.upf
Tc 98.00 Tc.upf
Tl 204.38 Tl.upf
CELL_PARAMETERS angstrom
4.7188 0.0000 0.0000
0.0000 4.7188 0.0000
0.0000 0.0000 4.7188
ATOMIC_POSITIONS crystal
Os 0.0000 0.5000 0.0000
Os 0.0000 0.0000 0.5000
Os 0.5000 0.0000 0.0000
Tc 0.0000 0.0000 0.0000
Tl 0.5000 0.5000 0.5000